The following is a DFT calculation (PBE-GGA) of an optimized crystal structure of Pr2ScPaBi4.

Computed properties:
V (Å³/cell): 260.0
Formation enthalpy at 0 K (eV/f.u.): -5.2
SG: No. 10
Calculated total energy (eV per atom): -5.7585
M_tot (μB per cell): 0.9

The structure in CIF format:
```
data_Pr2ScPaBi4
_chemical_formula_sum 'Pr2 Sc1 Pa1 Bi4'
_space_group_name_H-M_alt 'P 1'
_space_group_IT_number 1
_cell_length_a 4.510
_cell_length_b 7.782
_cell_length_c 7.849
_cell_angle_alpha 109.33
_cell_angle_beta 90.00
_cell_angle_gamma 90.00
loop_
_space_group_symop_operation_xyz
'x,y,z'
loop_
_atom_site_label
_atom_site_type_symbol
_atom_site_fract_x
_atom_site_fract_y
_atom_site_fract_z
_atom_site_occupancy
Bi1 Bi 0.500 0.763 0.771 1
Bi2 Bi 0.000 0.248 0.765 1
Bi3 Bi 0.000 0.752 0.235 1
Bi4 Bi 0.500 0.237 0.229 1
Pr1 Pr 0.000 0.500 0.500 1
Pr2 Pr 0.500 0.000 0.500 1
Pa1 Pa 0.500 0.500 0.000 1
Sc1 Sc 0.000 0.000 0.000 1
```

***

The following is a DFT calculation (PBE-GGA) of an optimized crystal structure of Zr2MnCl.

Computed properties:
E above lowest polymorph (eV/atom): 0.312
V (Å³/cell): 90.1
Energy relative to the elements, uncorrected (eV per atom): -0.1979
SG: No. 35
Calculated total energy (eV per atom): -7.2260
M_tot (μB per cell): 4.1

The structure in CIF format:
```
data_Zr2MnCl
_chemical_formula_sum 'Zr2 Mn1 Cl1'
_space_group_name_H-M_alt 'P 1'
_space_group_IT_number 1
_cell_length_a 3.151
_cell_length_b 3.151
_cell_length_c 9.076
_cell_angle_alpha 90.00
_cell_angle_beta 90.00
_cell_angle_gamma 89.89
loop_
_space_group_symop_operation_xyz
'x,y,z'
loop_
_atom_site_label
_atom_site_type_symbol
_atom_site_fract_x
_atom_site_fract_y
_atom_site_fract_z
_atom_site_occupancy
Mn1 Mn 0.500 0.500 0.794 1
Zr1 Zr 0.500 0.500 0.259 1
Zr2 Zr 0.000 0.000 0.001 1
Cl1 Cl 0.000 0.000 0.446 1
```

***

The following is a DFT calculation (PBE-GGA) of an optimized crystal structure of SrCa2TlIr.

Computed properties:
E above lowest polymorph (eV/atom): 0.000
V (Å³/cell): 175.9
Formation enthalpy at 0 K (eV/f.u.): -1.0
SG: No. 123
Calculated total energy (eV per atom): -3.5897
M_tot (μB per cell): 0.0

The structure in CIF format:
```
data_SrCa2TlIr
_chemical_formula_sum 'Sr1 Ca2 Tl1 Ir1'
_space_group_name_H-M_alt 'P 1'
_space_group_IT_number 1
_cell_length_a 5.500
_cell_length_b 5.500
_cell_length_c 5.812
_cell_angle_alpha 90.00
_cell_angle_beta 90.00
_cell_angle_gamma 90.00
loop_
_space_group_symop_operation_xyz
'x,y,z'
loop_
_atom_site_label
_atom_site_type_symbol
_atom_site_fract_x
_atom_site_fract_y
_atom_site_fract_z
_atom_site_occupancy
Ca1 Ca 0.000 0.500 0.000 1
Ca2 Ca 0.500 0.000 0.000 1
Tl1 Tl 0.500 0.500 0.500 1
Ir1 Ir 0.000 0.000 0.000 1
Sr1 Sr 0.000 0.000 0.500 1
```

***

Look up the calculated total energy of the second one.
-7.2260 eV per atom